Density functional theory data (meta-GGA SCAN) for TePO2F at its PBEsol-relaxed geometry.

Lattice parameters (Å, degrees): 3.5679 4.2440 4.2440 90.00 90.00 90.00
With the nearest neighbours (Å) after each atom.
Atoms (fractional coordinates):
P 0.5000 0.0000 0.0000  2 F 1.78
O 0.0000 0.5000 0.0000  2 F 2.12
O 0.0000 0.0000 0.5000  2 F 2.12
F 0.0000 0.0000 0.0000  2 P 1.78
Te 0.5000 0.5000 0.5000  8 O 2.77, 4 P 3.00

* ΔE_f (raw): 580.2 meV/atom
* electronic total energy: -0.893 Ry/atom
* calculated density: 5.42 g/cm3

Density functional theory data (meta-GGA SCAN) for TiPOF2 at its PBEsol-relaxed geometry.

Lattice parameters (Å, degrees): 3.8378 4.0496 4.0496 90.00 90.00 90.00
With the nearest neighbours (Å) after each atom.
Atoms (fractional coordinates):
P 0.5000 0.5000 0.5000  8 F 2.79, 4 O 2.86
F 0.0000 0.0000 0.5000  2 Ti 2.02
F 0.0000 0.5000 0.0000  2 Ti 2.02
O 0.5000 0.0000 0.0000  2 Ti 1.92
Ti 0.0000 0.0000 0.0000  2 O 1.92, 4 F 2.02

* ΔE_f (raw): -1770.1 meV/atom
* electronic total energy: -0.714 Ry/atom
* calculated density: 3.50 g/cm3

Density functional theory data (meta-GGA SCAN) for PbOF2 at its PBEsol-relaxed geometry.

Lattice parameters (Å, degrees): 3.5906 3.5906 8.2369 102.59 102.59 90.00
With the nearest neighbours (Å) after each atom.
Atoms (fractional coordinates):
Pb 0.0000 0.0000 0.0000  4 F 2.32, 4 O 2.54
Pb 0.2500 0.7500 0.5000  4 F 2.32, 4 O 2.54
O 0.7500 0.2500 0.5000  4 F 2.35, 4 Pb 2.54
O 0.5000 0.5000 0.0000  4 F 2.35, 4 Pb 2.54
F 0.1250 0.1119 0.7500  2 Pb 2.32, 2 O 2.35, 2 F 2.47
F 0.3619 0.8750 0.2500  2 Pb 2.32, 2 O 2.35, 2 F 2.47
F 0.8881 0.3750 0.2500  2 Pb 2.32, 2 O 2.35, 2 F 2.47
F 0.6250 0.6381 0.7500  2 Pb 2.32, 2 O 2.35, 2 F 2.47

* ΔE_f (raw): -1015.6 meV/atom
* relative energy among the computed polymorphs: 0.000 eV/atom
* electronic total energy: -1.712 Ry/atom
* calculated density: 8.59 g/cm3

Density functional theory data (meta-GGA SCAN) for PbOF2 at its PBEsol-relaxed geometry.

Lattice parameters (Å, degrees): 3.3359 3.3359 7.1594 76.53 76.53 60.00
With the nearest neighbours (Å) after each atom.
Atoms (fractional coordinates):
F 0.1081 0.1081 0.6758  1 Pb 2.24, 3 O 2.28
F 0.8919 0.8919 0.3242  1 Pb 2.24, 3 O 2.28
Pb 0.0000 0.0000 0.0000  2 F 2.24
O 0.5000 0.5000 0.5000  6 F 2.28

* ΔE_f (raw): -252.8 meV/atom
* relative energy among the computed polymorphs: 0.763 eV/atom
* electronic total energy: -1.656 Ry/atom
* calculated density: 6.53 g/cm3

Density functional theory data (meta-GGA SCAN) for PbO2F2 at its PBEsol-relaxed geometry.

Lattice parameters (Å, degrees): 4.0692 4.3377 4.3377 90.00 90.00 90.00
With the nearest neighbours (Å) after each atom.
Atoms (fractional coordinates):
O 0.5000 0.5000 0.5000  8 F 2.97, 4 O 3.07
O 0.5000 0.0000 0.0000  2 Pb 2.03
F 0.0000 0.5000 0.0000  2 Pb 2.17
F 0.0000 0.0000 0.5000  2 Pb 2.17
Pb 0.0000 0.0000 0.0000  2 O 2.03, 4 F 2.17

* ΔE_f (raw): -614.2 meV/atom
* electronic total energy: -1.446 Ry/atom
* calculated density: 6.01 g/cm3

Density functional theory data (meta-GGA SCAN) for RbPbOF2 at its PBEsol-relaxed geometry.

Lattice parameters (Å, degrees): 4.2573 4.6961 4.6961 90.00 90.00 90.00
With the nearest neighbours (Å) after each atom.
Atoms (fractional coordinates):
F 0.0000 0.5000 0.0000  2 Pb 2.35
F 0.0000 0.0000 0.5000  2 Pb 2.35
Pb 0.0000 0.0000 0.0000  2 O 2.13, 4 F 2.35
O 0.5000 0.0000 0.0000  2 Pb 2.13
Rb 0.5000 0.5000 0.5000  8 F 3.17, 4 O 3.32

* ΔE_f (raw): -2050.1 meV/atom
* electronic total energy: -1.765 Ry/atom
* calculated density: 6.13 g/cm3